{"formula": "RbInSN2", "functional": "meta-GGA SCAN", "state": "single point on PBEsol structure", "lattice": [[-3.481, -2.253, 1.352], [0.358, -2.629, -3.460], [2.915, -2.969, 2.558]], "species": ["S", "N", "N", "Rb", "In"], "fractional_positions": [[0.000, 0.000, 0.000], [0.000, 0.500, 0.000], [0.500, 0.000, 0.000], [0.500, 0.500, 0.500], [0.000, 0.000, 0.500]], "total_magnetization_mub_per_fu": 1.64, "dos_ef_per_ev_cell": 2.09, "e_form_raw_ev_per_atom": 1.54}